Entry 1:
The following is a PBE-GGA calculation of crystalline RbCuBi3 at its relaxed geometry, from the Alexandria database.

Computed properties:
The value obtained for the energy relative to the lowest polymorph listed for this composition is 0.0000 eV per atom. Its space group is Pm-3m. The value obtained for the formation enthalpy at 0 K is 51 kJ/mol of formula units.

Cell: 5.481 5.481 5.481 Å, 90.00 90.00 90.00°
Positions (direct):
Cu: 0.000 0.000 0.000
Bi: 0.000 0.500 0.000
Bi: 0.000 0.000 0.500
Bi: 0.500 0.000 0.000
Rb: 0.500 0.500 0.500

Entry 2:
The following is a PBE-GGA calculation of crystalline Nd3Tm2Al3 at its relaxed geometry, from the Alexandria database.

Computed properties:
Its space group is P-62m. The value obtained for the formation enthalpy at 0 K is -178 kJ/mol of formula units.

Cell: 3.299 8.575 8.575 Å, 120.00 90.00 90.00°
Positions (direct):
Nd: 0.000 0.755 0.755
Nd: 0.000 0.245 0.000
Nd: 0.000 0.000 0.245
Tm: 0.000 0.333 0.667
Tm: 0.000 0.667 0.333
Al: 0.500 0.390 0.390
Al: 0.500 0.610 0.000
Al: 0.500 0.000 0.610

Entry 3:
The following is a PBE-GGA calculation of crystalline TbYErIn at its relaxed geometry, from the Alexandria database.

Computed properties:
The value obtained for the energy relative to the lowest polymorph listed for this composition is 0.1258 eV per atom. Its space group is F-43m. The value obtained for the formation enthalpy at 0 K is -55 kJ/mol of formula units.

Cell: 5.447 5.447 5.447 Å, 60.00 60.00 60.00°
Positions (direct):
Y: 0.750 0.750 0.750
In: 0.000 0.000 0.000
Tb: 0.250 0.250 0.250
Er: 0.500 0.500 0.500

Entry 4:
The following is a PBE-GGA calculation of crystalline ZrSnRh at its relaxed geometry, from the Alexandria database.

Computed properties:
Its space group is P-62m. The value obtained for the formation enthalpy at 0 K is -222 kJ/mol of formula units.

Cell: 3.681 7.389 7.389 Å, 120.00 90.00 90.00°
Positions (direct):
Rh: 0.500 0.000 0.000
Rh: 0.000 0.667 0.333
Rh: 0.000 0.333 0.667
Sn: 0.000 0.000 0.268
Sn: 0.000 0.732 0.732
Sn: 0.000 0.268 0.000
Zr: 0.500 0.603 0.000
Zr: 0.500 0.000 0.603
Zr: 0.500 0.397 0.397

Entry 5:
The following is a PBE-GGA calculation of crystalline Cd2BTe at its relaxed geometry, from the Alexandria database.

Computed properties:
For the uncorrected formation energy, the calculation gives 0.664 eV/atom. The value obtained for the energy relative to the lowest polymorph listed for this composition is 0.0000 eV per atom. Its space group is I-42d.

Cell: 6.427 6.427 6.722 Å, 61.44 61.44 90.00°
Positions (direct):
B: 0.500 0.500 0.000
B: 0.250 0.750 0.500
Te: 0.000 0.000 0.000
Te: 0.750 0.250 0.500
Cd: 0.550 0.125 0.250
Cd: 0.200 0.625 0.250
Cd: 0.375 0.450 0.750
Cd: 0.875 0.800 0.750

Entry 6:
The following is a PBE-GGA calculation of crystalline Pm8As6S at its relaxed geometry, from the Alexandria database.

Computed properties:
For the uncorrected formation energy, the calculation gives -1.153 eV/atom. Its space group is P-3.

Cell: 4.453 10.534 10.534 Å, 120.00 90.00 90.00°
Positions (direct):
Pm: 0.737 0.969 0.299
Pm: 0.737 0.701 0.670
Pm: 0.737 0.330 0.031
Pm: 0.263 0.031 0.701
Pm: 0.263 0.299 0.330
Pm: 0.263 0.670 0.969
Pm: 0.745 0.333 0.667
Pm: 0.255 0.667 0.333
As: 0.760 0.654 0.130
As: 0.760 0.870 0.525
As: 0.760 0.475 0.346
As: 0.240 0.346 0.870
As: 0.240 0.130 0.475
As: 0.240 0.525 0.654
S: 0.500 0.000 0.000

Entry 7:
The following is a PBE-GGA calculation of crystalline Na2Ac at its relaxed geometry, from the Alexandria database.

Computed properties:
The value obtained for the energy relative to the lowest polymorph listed for this composition is 0.0658 eV per atom. Its space group is I4/mmm. The value obtained for the formation enthalpy at 0 K is 46 kJ/mol of formula units.

Cell: 3.714 3.714 9.321 Å, 101.49 101.49 90.00°
Positions (direct):
Na: 0.669 0.669 0.338
Na: 0.331 0.331 0.662
Ac: 0.000 0.000 0.000

Entry 8:
The following is a PBE-GGA calculation of crystalline Ti2Be2VNi5 at its relaxed geometry, from the Alexandria database.

Computed properties:
Its space group is P4/mbm. The value obtained for the formation enthalpy at 0 K is -327 kJ/mol of formula units.

Cell: 3.338 8.301 8.301 Å, 90.00 90.00 90.00°
Positions (direct):
Ti: 0.000 0.676 0.176
Ti: 0.000 0.324 0.824
Ti: 0.000 0.176 0.324
Ti: 0.000 0.824 0.676
Be: 0.000 0.118 0.618
Be: 0.000 0.882 0.382
Be: 0.000 0.618 0.882
Be: 0.000 0.382 0.118
V: 0.000 0.000 0.000
V: 0.000 0.500 0.500
Ni: 0.500 0.209 0.068
Ni: 0.500 0.791 0.932
Ni: 0.500 0.068 0.791
Ni: 0.500 0.709 0.432
Ni: 0.500 0.932 0.209
Ni: 0.500 0.291 0.568
Ni: 0.500 0.568 0.709
Ni: 0.500 0.432 0.291
Ni: 0.500 0.500 0.000
Ni: 0.500 0.000 0.500

Entry 9:
The following is a PBE-GGA calculation of crystalline Er5UP6 at its relaxed geometry, from the Alexandria database.

Computed properties:
Its space group is C2/m. The value obtained for the formation enthalpy at 0 K is -1745 kJ/mol of formula units.

Cell: 6.842 6.846 6.849 Å, 60.02 80.42 70.54°
Positions (direct):
P: 0.752 0.082 0.328
P: 0.248 0.590 0.328
P: 0.246 0.245 0.000
P: 0.754 0.755 0.000
P: 0.752 0.410 0.672
P: 0.248 0.918 0.672
U: 0.000 0.000 0.000
Er: 0.500 0.168 0.663
Er: 0.000 0.334 0.333
Er: 0.500 0.500 0.000
Er: 0.000 0.666 0.667
Er: 0.500 0.832 0.337

Entry 10:
The following is a PBE-GGA calculation of crystalline ZrMo2Pt at its relaxed geometry, from the Alexandria database.

Computed properties:
The value obtained for the energy relative to the lowest polymorph listed for this composition is 0.3619 eV per atom. Its space group is R3m. The value obtained for the formation enthalpy at 0 K is 35 kJ/mol of formula units.

Cell: 9.965 9.965 9.965 Å, 16.40 16.40 16.40°
Positions (direct):
Mo: 0.996 0.996 0.996
Mo: 0.248 0.248 0.248
Pt: 0.504 0.504 0.504
Zr: 0.753 0.753 0.753

Entry 11:
The following is a PBE-GGA calculation of crystalline Sc3Tl2Ag at its relaxed geometry, from the Alexandria database.

Computed properties:
Its space group is P-3m1. The value obtained for the formation enthalpy at 0 K is -160 kJ/mol of formula units.

Cell: 5.009 5.009 12.315 Å, 90.00 90.00 120.00°
Positions (direct):
Sc: 0.333 0.667 0.420
Sc: 0.667 0.333 0.086
Sc: 0.000 0.000 0.746
Sc: 0.000 0.000 0.254
Sc: 0.333 0.667 0.914
Sc: 0.667 0.333 0.580
Tl: 0.000 0.000 0.500
Tl: 0.333 0.667 0.176
Tl: 0.667 0.333 0.824
Tl: 0.000 0.000 0.000
Ag: 0.333 0.667 0.668
Ag: 0.667 0.333 0.332

Entry 12:
The following is a PBE-GGA calculation of crystalline Sr2PmZn3Pt4 at its relaxed geometry, from the Alexandria database.

Computed properties:
Its space group is P-4m2. The value obtained for the formation enthalpy at 0 K is -702 kJ/mol of formula units.

Cell: 4.359 4.359 11.550 Å, 90.00 90.00 90.00°
Positions (direct):
Sr: 0.500 0.000 0.221
Sr: 0.000 0.500 0.779
Pm: 0.500 0.500 0.500
Zn: 0.000 0.000 0.500
Zn: 0.500 0.000 0.880
Zn: 0.000 0.500 0.120
Pt: 0.500 0.500 0.000
Pt: 0.000 0.000 0.000
Pt: 0.500 0.000 0.657
Pt: 0.000 0.500 0.343

Entry 13:
The following is a PBE-GGA calculation of crystalline PRuICl2 at its relaxed geometry, from the Alexandria database.

Computed properties:
For the uncorrected formation energy, the calculation gives 1.497 eV/atom. The value obtained for the energy relative to the lowest polymorph listed for this composition is 1.2812 eV per atom. Its space group is P4/mmm.

Cell: 5.355 5.355 5.360 Å, 90.00 90.00 90.00°
Positions (direct):
I: 0.000 0.000 0.000
Ru: 0.500 0.500 0.500
P: 0.000 0.000 0.500
Cl: 0.000 0.500 0.000
Cl: 0.500 0.000 0.000

Entry 14:
The following is a PBE-GGA calculation of crystalline CdTe2Pb at its relaxed geometry, from the Alexandria database.

Computed properties:
For the uncorrected formation energy, the calculation gives 0.080 eV/atom. Its space group is Cmmm.

Cell: 3.285 3.285 11.501 Å, 90.00 90.00 105.73°
Positions (direct):
Pb: 0.500 0.500 0.750
Te: 0.000 0.000 0.996
Te: 0.000 0.000 0.504
Cd: 0.500 0.500 0.250

Entry 15:
The following is a PBE-GGA calculation of crystalline SrAsW2 at its relaxed geometry, from the Alexandria database.

Computed properties:
Its space group is R-3m. The value obtained for the formation enthalpy at 0 K is 350 kJ/mol of formula units.

Cell: 9.532 9.532 9.532 Å, 18.78 18.78 18.78°
Positions (direct):
Sr: 0.750 0.750 0.750
As: 0.250 0.250 0.250
W: 0.984 0.984 0.984
W: 0.516 0.516 0.516

Entry 16:
The following is a PBE-GGA calculation of crystalline La8Dy3Cd at its relaxed geometry, from the Alexandria database.

Computed properties:
Its space group is I-42m. The value obtained for the formation enthalpy at 0 K is 467 kJ/mol of formula units.

Cell: 8.549 8.549 8.549 Å, 92.18 118.75 118.75°
Positions (direct):
La: 0.488 0.214 0.214
La: 0.512 0.726 0.726
La: 0.000 0.786 0.274
La: 0.000 0.274 0.786
La: 0.272 0.381 0.381
La: 0.728 0.109 0.109
La: 0.000 0.619 0.891
La: 0.000 0.891 0.619
Dy: 0.500 0.750 0.250
Dy: 0.500 0.250 0.750
Dy: 0.000 0.500 0.500
Cd: 0.000 0.000 0.000

Entry 17:
The following is a PBE-GGA calculation of crystalline Ac2Pr2RuAu2 at its relaxed geometry, from the Alexandria database.

Computed properties:
Its space group is C2/m. The value obtained for the formation enthalpy at 0 K is -318 kJ/mol of formula units.

Cell: 4.154 7.540 7.935 Å, 67.30 74.79 89.98°
Positions (direct):
Ac: 0.206 0.225 0.588
Ac: 0.794 0.775 0.412
Pr: 0.479 0.241 0.041
Pr: 0.521 0.759 0.959
Ru: 0.000 0.000 0.000
Au: 0.120 0.565 0.759
Au: 0.880 0.435 0.241

Entry 18:
The following is a PBE-GGA calculation of crystalline Cd2HgTe at its relaxed geometry, from the Alexandria database.

Computed properties:
For the uncorrected formation energy, the calculation gives 0.031 eV/atom. The value obtained for the energy relative to the lowest polymorph listed for this composition is 0.1452 eV per atom. Its space group is C2/m.

Cell: 6.488 6.488 3.139 Å, 68.48 68.48 83.40°
Positions (direct):
Te: 0.000 0.500 0.500
Hg: 0.500 0.000 0.500
Cd: 0.000 0.000 0.000
Cd: 0.500 0.500 0.000

Entry 19:
The following is a PBE-GGA calculation of crystalline CaAc2In3Ag4 at its relaxed geometry, from the Alexandria database.

Computed properties:
Its space group is P-4m2. The value obtained for the formation enthalpy at 0 K is -298 kJ/mol of formula units.

Cell: 4.802 4.802 11.836 Å, 90.00 90.00 90.00°
Positions (direct):
Ca: 0.500 0.500 0.500
Ac: 0.500 0.000 0.221
Ac: 0.000 0.500 0.779
In: 0.000 0.000 0.500
In: 0.500 0.000 0.876
In: 0.000 0.500 0.124
Ag: 0.500 0.500 0.000
Ag: 0.000 0.000 0.000
Ag: 0.500 0.000 0.647
Ag: 0.000 0.500 0.353

Entry 20:
The following is a PBE-GGA calculation of crystalline DyTlNiAg at its relaxed geometry, from the Alexandria database.

Computed properties:
Its space group is F-43m. The value obtained for the formation enthalpy at 0 K is -57 kJ/mol of formula units.

Cell: 4.832 4.832 4.832 Å, 60.00 60.00 60.00°
Positions (direct):
Ni: 0.750 0.750 0.750
Tl: 0.000 0.000 0.000
Ag: 0.250 0.250 0.250
Dy: 0.500 0.500 0.500